1.
# TaMn2Be

A geometry-optimized TaMn2Be structure (GGA-PBE, Alexandria via LeMat-Bulk).

Calculated values
The calculated total energy comes out at -8.35 eV/atom.

a b c (Å): 5.8789 5.8789 5.8789
angles (deg): 90.00 90.00 90.00
Space group F-43m (No. 216)
Asymmetric unit:
Ta 0.0000 0.0000 0.0000 [4 per cell]
Mn 0.0000 0.0000 0.5000 [4 per cell]
Mn 0.2500 0.2500 0.7500 [4 per cell]
Be 0.2500 0.2500 0.2500 [4 per cell]

2.
# InSF2

A geometry-optimized InSF2 structure (GGA-PBE, Alexandria via LeMat-Bulk).

Calculated values
The value obtained for the uncorrected formation energy is -1.04 eV/atom.

a b c (Å): 3.9685 3.9685 15.5708
angles (deg): 90.00 90.00 90.00
Space group I-42d (No. 122)
Asymmetric unit:
In 0.0000 0.0000 0.0000 [4 per cell]
S 0.0000 0.0000 0.5000 [4 per cell]
F 0.1847 0.2500 0.1250 [8 per cell]

3.
# RbNb3W

A geometry-optimized RbNb3W structure (GGA-PBE, Alexandria via LeMat-Bulk).

Calculated values
The calculated total energy comes out at -5.74 eV/atom.

a b c (Å): 4.7212 4.7212 4.7212
angles (deg): 90.00 90.00 90.00
Space group Pm-3m (No. 221)
Asymmetric unit:
Rb 0.0000 0.0000 0.0000 [1 per cell]
Nb 0.0000 0.0000 0.5000 [3 per cell]
W 0.5000 0.5000 0.5000 [1 per cell]

4.
# Hf2MnZn2

A geometry-optimized Hf2MnZn2 structure (GGA-PBE, Alexandria via LeMat-Bulk).

Calculated values
The calculated total energy comes out at -6.24 eV/atom.

a b c (Å): 6.6645 6.6645 3.7928
angles (deg): 90.00 90.00 90.00
Space group P4/mbm (No. 127)
Asymmetric unit:
Hf 0.1793 0.3207 0.0000 [4 per cell]
Mn 0.0000 0.0000 0.5000 [2 per cell]
Zn 0.1285 0.6285 0.5000 [4 per cell]